VASP calculation (GGA-PBE) on an optimized crystal structure of Pm5ZnPb6.

Summary:
- Formation energy from the elements: -442 meV per atom
- Magnetization: 0.000 μB per formula unit

The structure in CIF format:
```
data_Pm5ZnPb6
_chemical_formula_sum 'Pm10 Zn2 Pb12'
_cell_length_a 17.8077
_cell_length_b 4.8722
_cell_length_c 9.4312
_cell_angle_alpha 90.00
_cell_angle_beta 121.92
_cell_angle_gamma 90.00
_space_group_name_H-M_alt 'C 1 2/m 1'
_space_group_IT_number 12
loop_
_space_group_symop_operation_xyz
'x,y,z'
'-x,-y,-z'
'-x,y,-z'
'x,-y,z'
'x+1/2,y+1/2,z'
'-x+1/2,-y+1/2,-z'
'-x+1/2,y+1/2,-z'
'x+1/2,-y+1/2,z'
loop_
_atom_site_label
_atom_site_type_symbol
_atom_site_fract_x
_atom_site_fract_y
_atom_site_fract_z
Pm1 Pm 0.0000 0.0000 0.0000
Pm2 Pm 0.1393 0.5000 0.6395
Pm3 Pm 0.1721 0.5000 0.1716
Zn1 Zn 0.0000 0.0000 0.5000
Pb1 Pb 0.0001 0.5000 0.2374
Pb2 Pb 0.1691 0.0000 0.4160
Pb3 Pb 0.1688 0.0000 0.9216
```